Entry 1:
! Ce2GeAu3 PBE relaxed; values from VASP
&SYSTEM
  ibrav = 0, nat = 6, ntyp = 3
/
ATOMIC_SPECIES
Ce 140.12 Ce.upf
Ge 72.64 Ge.upf
Au 196.97 Au.upf
CELL_PARAMETERS angstrom
3.5197 0.0000 0.0000
0.0000 4.6704 0.0000
0.0000 0.0000 8.2079
ATOMIC_POSITIONS angstrom
Ce 0.0000 2.3352 8.1703
Ce 0.0000 0.0000 4.1405
Ge 1.7599 2.3352 2.7148
Au 1.7599 0.0000 1.4498
Au 1.7599 0.0000 6.8773
Au 1.7599 2.3352 5.3752
! Calculated formation energy in eV/atom: -0.703
! Spin magnetization in μB/atom: 0.2802
! DOS(E_F) in states/eV per cell: 11.70

***

Entry 2:
! LuScCuPd PBE relaxed; values from VASP
&SYSTEM
  ibrav = 0, nat = 4, ntyp = 4
/
ATOMIC_SPECIES
Pd 106.42 Pd.upf
Sc 44.96 Sc.upf
Cu 63.55 Cu.upf
Lu 174.97 Lu.upf
CELL_PARAMETERS angstrom
4.7469 0.0000 0.0000
2.3735 4.1110 0.0000
2.3735 1.3703 3.8758
ATOMIC_POSITIONS angstrom
Pd 7.1204 4.1110 2.9069
Sc 4.7469 2.7406 1.9379
Cu 2.3735 1.3703 0.9690
Lu 0.0000 0.0000 0.0000
! Calculated formation energy in eV/atom: -0.600
! Spin magnetization in μB/atom: 0.0000
! DOS(E_F) in states/eV per cell: 3.21

***

Entry 3:
! La3AuC PBE relaxed; values from VASP
&SYSTEM
  ibrav = 0, nat = 5, ntyp = 3
/
ATOMIC_SPECIES
La 138.91 La.upf
C 12.01 C.upf
Au 196.97 Au.upf
CELL_PARAMETERS angstrom
-0.5771 4.8508 2.9547
-4.1789 1.6488 -3.5231
-3.8467 -2.5189 3.3840
ATOMIC_POSITIONS angstrom
La -2.0894 0.8244 -1.7615
La -0.2886 2.4254 1.4774
La -1.9234 -1.2595 1.6920
C -4.3014 1.9903 1.4078
Au 0.0000 0.0000 0.0000
! Calculated formation energy in eV/atom: 1.117
! Spin magnetization in μB/atom: 0.0002
! Distance to the lowest polymorph of the same formula in meV per atom: 1498
! DOS(E_F) in states/eV per cell: 6.72

***

Entry 4:
! Th5Sc3As12 PBE relaxed; values from VASP
&SYSTEM
  ibrav = 0, nat = 80, ntyp = 3
/
ATOMIC_SPECIES
Sc 44.96 Sc.upf
As 74.92 As.upf
Th 232.04 Th.upf
CELL_PARAMETERS angstrom
-11.7416 -7.5726 -3.2604
1.4286 0.7067 14.2583
-1.2219 13.2573 -5.3468
ATOMIC_POSITIONS angstrom
Sc -1.1341 9.6148 8.0583
Sc -8.3198 3.2248 6.6889
Sc -7.7192 5.4752 -0.7010
Sc -3.1117 10.1487 3.4178
Sc -4.0953 5.9762 6.1293
Sc -7.4395 0.4153 -0.4782
Sc -2.1797 10.8303 -1.5215
Sc -9.3552 -4.4388 7.1725
Sc -3.8157 0.9163 6.3521
Sc -3.2150 3.1667 -1.0379
Sc -10.4008 -3.2233 -2.4072
Sc -8.4232 -3.7573 2.2332
As -11.2595 1.8167 -5.3739
As -6.2776 1.4347 5.2272
As -3.4092 9.3523 0.4532
As -6.2135 5.2254 7.7246
As -8.4946 -4.6146 10.1290
As -0.2754 4.5747 11.0249
As -8.6547 -4.5503 -0.7382
As -8.6641 -0.7273 1.7104
As -3.7388 7.9642 8.0044
As -4.7403 1.5028 0.5433
As -0.8767 9.7898 4.9899
As -1.2893 10.7135 1.4291
As -1.1162 5.2029 -0.0578
As -2.0647 -0.0753 8.2351
As -4.9483 8.6214 4.7923
As -5.1881 4.6531 -2.2597
As -6.5866 -2.2299 0.8587
As -10.1674 -0.6520 -1.4433
As -3.5582 3.5963 4.8476
As -1.3674 7.0435 7.0944
As -3.6494 -1.0452 4.4233
As -10.6582 -3.3984 0.6612
As -2.8708 7.1188 3.9407
As -7.9766 2.7952 0.8035
As -6.3468 1.7384 7.9108
As -9.4702 6.4668 -2.5840
As -7.7961 -1.5727 -2.3533
As -10.2455 -4.3220 4.2220
As -4.1105 -1.7871 7.8069
As -1.2472 0.1177 4.8430
As -10.4187 1.1886 5.7089
As -6.7945 4.8887 5.1078
As -10.3072 3.7486 4.8528
As -8.2638 3.0404 -1.8716
As 0.2633 2.0477 11.8142
As -8.7510 -2.2859 8.7835
As -5.2572 4.9568 0.4239
As -2.8802 10.9418 6.3893
As -2.7839 8.6774 -3.1324
As -11.7982 4.3438 -6.1632
As -3.2710 3.3511 7.5227
As -1.2277 2.6429 0.7983
As -10.2876 6.2738 0.8081
As -7.4244 8.1786 -2.1559
As -3.0403 11.0061 -4.4779
As -7.8854 7.4367 1.2277
As -8.1257 -2.9609 5.1979
As -5.3214 1.1661 -2.0735
Th -7.3362 7.3974 3.9775
Th -5.1565 -3.4329 5.4990
Th -1.2374 2.6328 3.6026
Th -10.6804 1.8365 -2.6300
Th -8.3715 -0.2662 4.4611
Th -5.8708 -3.7863 -1.6302
Th -10.2974 3.7587 2.0485
Th -4.1987 -1.0059 1.6736
Th 0.0000 0.0000 0.0000
Th -0.6109 6.6287 -2.6734
Th -5.1409 7.1916 -3.4505
Th -0.8545 4.5550 8.2811
Th 0.1034 6.9820 4.4557
Th -6.3939 -0.8001 9.1016
Th 0.7143 0.3534 7.1291
Th -5.7674 3.1957 2.8255
Th -6.4817 2.8424 -4.3036
Th -3.1634 6.6577 1.1900
Th -1.8381 0.3824 10.9926
Th -9.6968 6.0091 -5.3415
! Calculated formation energy in eV/atom: -0.568
! Spin magnetization in μB/atom: 0.0000
! DOS(E_F) in states/eV per cell: 56.44